First-principles (PBE) data for an optimized crystal structure of Ti8C3O, as listed in the Alexandria database.

Values from the calculation:
**Theoretical density**: 4.624 Mg/m³
**Magnetic moment**: 0.0000 μB/atom
**Formation energy without anion corrections**: -0.9124 eV per atom
**Final energy**: -8.8948 eV/atom

Structure (CIF):
```
data_Ti8C3O
_chemical_formula_sum 'Ti16 C6 O2'
_cell_length_a 6.0548
_cell_length_b 6.0548
_cell_length_c 9.8393
_cell_angle_alpha 90.00
_cell_angle_beta 90.00
_cell_angle_gamma 120.00
_space_group_name_H-M_alt 'P 63 m c'
_space_group_IT_number 186
_space_group_name_Hall 'P 6c -2c'
loop_
_atom_site_label
_atom_site_type_symbol
_atom_site_fract_x
_atom_site_fract_y
_atom_site_fract_z
Ti1 Ti 0.0000 0.0000 0.0000
Ti2 Ti 0.0106 0.5053 0.0090
Ti3 Ti 0.1636 0.3271 0.2606
Ti4 Ti 0.3333 0.6667 0.7651
C1 C 0.1668 0.3336 0.8843
O1 O 0.3333 0.6667 0.1393
```

---

First-principles (PBE) data for an optimized crystal structure of Hf2CdCo, as listed in the Alexandria database.

Values from the calculation:
**Theoretical density**: 10.969 Mg/m³
**Magnetic moment**: 0.0000 μB/atom
**Final energy**: -7.0304 eV/atom
**DFT formation energy**: -0.0484 eV per atom

Structure (CIF):
```
data_Hf2CdCo
_chemical_formula_sum 'Hf6 Cd3 Co3'
_cell_length_a 3.3304
_cell_length_b 3.3304
_cell_length_c 24.9788
_cell_angle_alpha 90.00
_cell_angle_beta 90.00
_cell_angle_gamma 120.00
_space_group_name_H-M_alt 'R -3 m'
_space_group_IT_number 166
_space_group_name_Hall '-R 3 2"'
loop_
_atom_site_label
_atom_site_type_symbol
_atom_site_fract_x
_atom_site_fract_y
_atom_site_fract_z
Hf1 Hf 0.0000 0.0000 0.2319
Cd1 Cd 0.0000 0.0000 0.0000
Co1 Co 0.0000 0.0000 0.5000
```

---

First-principles (PBE) data for an optimized crystal structure of Li3U3IrN8, as listed in the Alexandria database.

Values from the calculation:
**Theoretical density**: 8.826 Mg/m³
**Magnetic moment**: 0.0000 μB/atom
**Formation energy without anion corrections**: -0.7630 eV per atom
**Final energy**: -8.4344 eV/atom

Structure (CIF):
```
data_Li3U3IrN8
_chemical_formula_sum 'Li9 U9 Ir3 N24'
_cell_length_a 6.7158
_cell_length_b 6.7158
_cell_length_c 15.0164
_cell_angle_alpha 90.00
_cell_angle_beta 90.00
_cell_angle_gamma 120.00
_space_group_name_H-M_alt 'R -3 m'
_space_group_IT_number 166
_space_group_name_Hall '-R 3 2"'
loop_
_atom_site_label
_atom_site_type_symbol
_atom_site_fract_x
_atom_site_fract_y
_atom_site_fract_z
Li1 Li 0.0000 0.5000 0.0000
U1 U 0.0000 0.5000 0.5000
Ir1 Ir 0.0000 0.0000 0.5000
N1 N 0.0000 0.0000 0.2383
N2 N 0.0018 0.5009 0.7655
```

---

First-principles (PBE) data for an optimized crystal structure of V5Ni3Rh4, as listed in the Alexandria database.

Values from the calculation:
**Theoretical density**: 7.786 Mg/m³
**Magnetic moment**: 0.0000 μB/atom
**Final energy**: -7.5788 eV/atom
**DFT formation energy**: 0.1164 eV per atom

Structure (CIF):
```
data_V5Ni3Rh4
_chemical_formula_sum 'V10 Ni6 Rh8'
_cell_length_a 13.468
_cell_length_b 4.308
_cell_length_c 7.279
_cell_angle_alpha 90.00
_cell_angle_beta 121.70
_cell_angle_gamma 90.00
_space_group_name_H-M_alt 'C 1 2/m 1'
_space_group_IT_number 12
loop_
_space_group_symop_operation_xyz
'x,y,z'
'-x,-y,-z'
'-x,y,-z'
'x,-y,z'
'x+1/2,y+1/2,z'
'-x+1/2,-y+1/2,-z'
'-x+1/2,y+1/2,-z'
'x+1/2,-y+1/2,z'
loop_
_atom_site_label
_atom_site_type_symbol
_atom_site_fract_x
_atom_site_fract_y
_atom_site_fract_z
V1 V 0.000 0.000 0.000
V2 V 0.162 0.500 0.961
V3 V 0.178 0.500 0.349
Ni1 Ni 0.000 0.500 0.000
Ni2 Ni 0.237 0.000 0.235
Rh1 Rh 0.107 0.000 0.405
Rh2 Rh 0.131 0.000 0.780
```

---

First-principles (PBE) data for an optimized crystal structure of Mn2PtRhN, as listed in the Alexandria database.

Values from the calculation:
**Theoretical density**: 10.924 Mg/m³
**Magnetic moment**: 1.4348 μB/atom
**Formation energy without anion corrections**: -0.1896 eV per atom
**Final energy**: -8.2010 eV/atom

Structure (CIF):
```
data_Mn2PtRhN
_chemical_formula_sum 'Mn2 Pt1 Rh1 N1'
_cell_length_a 4.000
_cell_length_b 4.000
_cell_length_c 4.009
_cell_angle_alpha 90.00
_cell_angle_beta 90.00
_cell_angle_gamma 90.00
_space_group_name_H-M_alt 'P 4/m m m'
_space_group_IT_number 123
_space_group_name_Hall '-P 4 2'
loop_
_atom_site_label
_atom_site_type_symbol
_atom_site_fract_x
_atom_site_fract_y
_atom_site_fract_z
Mn1 Mn 0.000 0.500 0.000
Pt1 Pt 0.000 0.000 0.500
Rh1 Rh 0.500 0.500 0.500
N1 N 0.500 0.500 0.000
```

---

First-principles (PBE) data for an optimized crystal structure of Mg2Mn2Fe, as listed in the Alexandria database.

Values from the calculation:
**Theoretical density**: 4.762 Mg/m³
**Magnetic moment**: 0.4378 μB/atom
**Final energy**: -5.6129 eV/atom
**DFT formation energy**: 0.3853 eV per atom

Structure (CIF):
```
data_Mg2Mn2Fe
_chemical_formula_sum 'Mg4 Mn4 Fe2'
_cell_length_a 5.810
_cell_length_b 5.810
_cell_length_c 4.428
_cell_angle_alpha 90.00
_cell_angle_beta 90.00
_cell_angle_gamma 90.00
_space_group_name_H-M_alt 'P 4/m b m'
_space_group_IT_number 127
_space_group_name_Hall '-P 4 2ab'
loop_
_atom_site_label
_atom_site_type_symbol
_atom_site_fract_x
_atom_site_fract_y
_atom_site_fract_z
Mg1 Mg 0.178 0.322 0.000
Mn1 Mn 0.129 0.629 0.500
Fe1 Fe 0.000 0.000 0.500
```

---

First-principles (PBE) data for an optimized crystal structure of Ac6SbP4, as listed in the Alexandria database.

Values from the calculation:
**Theoretical density**: 7.209 Mg/m³
**Magnetic moment**: 0.0731 μB/atom
**Formation energy without anion corrections**: -1.3019 eV per atom
**Final energy**: -5.8849 eV/atom

Structure (CIF):
```
data_Ac6SbP4
_chemical_formula_sum 'Ac24 Sb4 P16'
_cell_length_a 4.481
_cell_length_b 14.592
_cell_length_c 22.657
_cell_angle_alpha 90.00
_cell_angle_beta 90.00
_cell_angle_gamma 90.00
_space_group_name_H-M_alt 'C m c m'
_space_group_IT_number 63
_space_group_name_Hall '-C 2c 2'
loop_
_atom_site_label
_atom_site_type_symbol
_atom_site_fract_x
_atom_site_fract_y
_atom_site_fract_z
Ac1 Ac 0.000 0.000 0.000
Ac2 Ac 0.000 0.166 0.250
Ac3 Ac 0.000 0.274 0.581
Ac4 Ac 0.000 0.457 0.158
Sb1 Sb 0.000 0.162 0.750
P1 P 0.000 0.091 0.126
P2 P 0.000 0.362 0.041
```

---

First-principles (PBE) data for an optimized crystal structure of Th2C3N6, as listed in the Alexandria database.

Values from the calculation:
**Theoretical density**: 6.262 Mg/m³
**Magnetic moment**: 0.0000 μB/atom
**Formation energy without anion corrections**: -0.5925 eV per atom
**Final energy**: -8.9983 eV/atom

Structure (CIF):
```
data_Th2C3N6
_chemical_formula_sum 'Th4 C6 N12'
_cell_length_a 14.585
_cell_length_b 3.964
_cell_length_c 5.367
_cell_angle_alpha 90.00
_cell_angle_beta 93.16
_cell_angle_gamma 90.00
_space_group_name_H-M_alt 'C 1 2/m 1'
_space_group_IT_number 12
loop_
_space_group_symop_operation_xyz
'x,y,z'
'-x,-y,-z'
'-x,y,-z'
'x,-y,z'
'x+1/2,y+1/2,z'
'-x+1/2,-y+1/2,-z'
'-x+1/2,y+1/2,-z'
'x+1/2,-y+1/2,z'
loop_
_atom_site_label
_atom_site_type_symbol
_atom_site_fract_x
_atom_site_fract_y
_atom_site_fract_z
Th1 Th 0.125 0.000 0.085
C1 C 0.000 0.000 0.500
C2 C 0.172 0.500 0.604
N1 N 0.028 0.000 0.725
N2 N 0.155 0.500 0.378
N3 N 0.192 0.500 0.834
```

---

First-principles (PBE) data for an optimized crystal structure of Zr4MoRu3, as listed in the Alexandria database.

Values from the calculation:
**Theoretical density**: 8.855 Mg/m³
**Magnetic moment**: 0.0000 μB/atom
**Final energy**: -9.5819 eV/atom
**DFT formation energy**: -0.4755 eV per atom

Structure (CIF):
```
data_Zr4MoRu3
_chemical_formula_sum 'Zr4 Mo1 Ru3'
_cell_length_a 3.284
_cell_length_b 3.284
_cell_length_c 13.285
_cell_angle_alpha 90.00
_cell_angle_beta 90.00
_cell_angle_gamma 90.00
_space_group_name_H-M_alt 'P 4/m m m'
_space_group_IT_number 123
_space_group_name_Hall '-P 4 2'
loop_
_atom_site_label
_atom_site_type_symbol
_atom_site_fract_x
_atom_site_fract_y
_atom_site_fract_z
Zr1 Zr 0.000 0.000 0.124
Zr2 Zr 0.000 0.000 0.372
Mo1 Mo 0.500 0.500 0.500
Ru1 Ru 0.500 0.500 0.000
Ru2 Ru 0.500 0.500 0.245
```

---

First-principles (PBE) data for an optimized crystal structure of LuHfCo4, as listed in the Alexandria database.

Values from the calculation:
**Theoretical density**: 11.780 Mg/m³
**Magnetic moment**: 0.0000 μB/atom
**Final energy**: -7.4518 eV/atom
**DFT formation energy**: -0.3021 eV per atom

Structure (CIF):
```
data_LuHfCo4
_chemical_formula_sum 'Lu4 Hf4 Co16'
_cell_length_a 6.926
_cell_length_b 6.926
_cell_length_c 6.926
_cell_angle_alpha 90.00
_cell_angle_beta 90.00
_cell_angle_gamma 90.00
_space_group_name_H-M_alt 'F -4 3 m'
_space_group_IT_number 216
_space_group_name_Hall 'F -4 2 3'
loop_
_atom_site_label
_atom_site_type_symbol
_atom_site_fract_x
_atom_site_fract_y
_atom_site_fract_z
Lu1 Lu 0.000 0.000 0.000
Hf1 Hf 0.250 0.250 0.250
Co1 Co 0.125 0.125 0.625
```

---

First-principles (PBE) data for an optimized crystal structure of Na2SnB2O6, as listed in the Alexandria database.

Values from the calculation:
**Theoretical density**: 3.446 Mg/m³
**Magnetic moment**: 0.0000 μB/atom
**Formation energy without anion corrections**: -2.0554 eV per atom
**Final energy**: -6.5777 eV/atom

Structure (CIF):
```
data_Na2SnB2O6
_chemical_formula_sum 'Na2 Sn1 B2 O6'
_cell_length_a 5.0984
_cell_length_b 5.0984
_cell_length_c 6.0432
_cell_angle_alpha 90.00
_cell_angle_beta 90.00
_cell_angle_gamma 120.00
_space_group_name_H-M_alt 'P -3'
_space_group_IT_number 147
loop_
_space_group_symop_operation_xyz
'x,y,z'
'-x,-y,-z'
'-y,x-y,z'
'y,-x+y,-z'
'-x+y,-x,z'
'x-y,x,-z'
loop_
_atom_site_label
_atom_site_type_symbol
_atom_site_fract_x
_atom_site_fract_y
_atom_site_fract_z
Na1 Na 0.3333 0.6667 0.3499
Sn1 Sn 0.0000 0.0000 0.0000
B1 B 0.3333 0.6667 0.8137
O1 O 0.0946 0.7233 0.7993
```

---

First-principles (PBE) data for an optimized crystal structure of ScWBr2, as listed in the Alexandria database.

Values from the calculation:
**Theoretical density**: 6.279 Mg/m³
**Magnetic moment**: 0.4428 μB/atom
**Formation energy without anion corrections**: 0.4829 eV per atom
**Final energy**: -5.1747 eV/atom

Structure (CIF):
```
data_ScWBr2
_chemical_formula_sum 'Sc1 W1 Br2'
_cell_length_a 3.108
_cell_length_b 3.108
_cell_length_c 10.639
_cell_angle_alpha 90.00
_cell_angle_beta 90.00
_cell_angle_gamma 90.00
_space_group_name_H-M_alt 'P 4/m m m'
_space_group_IT_number 123
_space_group_name_Hall '-P 4 2'
loop_
_atom_site_label
_atom_site_type_symbol
_atom_site_fract_x
_atom_site_fract_y
_atom_site_fract_z
Sc1 Sc 0.000 0.000 0.000
W1 W 0.000 0.000 0.500
Br1 Br 0.500 0.500 0.160
```